1.
The following is a PBE with a Hubbard U calculation of an optimized crystal structure of Li2Mn3VO8, from the Alexandria database.

```
data_Li2Mn3VO8
_chemical_formula_sum 'Li6 Mn9 V3 O24'
_symmetry_space_group_name_H-M 'R -3 m'
_symmetry_Int_Tables_number 166
_symmetry_space_group_name_Hall '-R 3 2"'
_cell_length_a 5.9794
_cell_length_b 5.9794
_cell_length_c 14.4326
_cell_angle_alpha 90.00
_cell_angle_beta 90.00
_cell_angle_gamma 120.00
loop_
_atom_site_label
_atom_site_fract_x
_atom_site_fract_y
_atom_site_fract_z
Li1 0.0000 0.0000 0.1228
Mn1 0.0000 0.5000 0.0000
V1 0.0000 0.0000 0.5000
O1 0.0000 0.0000 0.2587
O2 0.0371 0.5186 0.2550
```

2.
The following is a PBE with a Hubbard U calculation of an optimized crystal structure of Li2Mn3VO8, from the Alexandria database.

```
data_Li2Mn3VO8
_chemical_formula_sum 'Li8 Mn12 V4 O32'
_symmetry_space_group_name_H-M 'C m c 21'
_symmetry_Int_Tables_number 36
_symmetry_space_group_name_Hall 'C 2c -2'
_cell_length_a 6.0316
_cell_length_b 10.0080
_cell_length_c 9.6283
_cell_angle_alpha 90.00
_cell_angle_beta 90.00
_cell_angle_gamma 90.00
loop_
_atom_site_label
_atom_site_fract_x
_atom_site_fract_y
_atom_site_fract_z
Li1 0.0000 0.0049 0.0000
Li2 0.0000 0.3297 0.4059
Mn1 0.0000 0.1690 0.7211
Mn2 0.2448 0.4168 0.7202
V1 0.0000 0.3365 0.9938
O1 0.0000 0.0030 0.3127
O2 0.0000 0.1791 0.0873
O3 0.0000 0.3333 0.6175
O4 0.0000 0.4813 0.8718
O5 0.2172 0.2570 0.8407
O6 0.2372 0.0812 0.6074
```

Which structure is most stable? 2, by 0.026 eV/atom over the runner-up.